w.
DFT (meta-GGA SCAN) results for a PBEsol-optimized structure of CdFePO2.

The structure in extended XYZ format:
```
5
Lattice="3.953 0.000 0.000 0.000 3.953 0.000 0.000 0.000 5.118" Properties=species:S:1:pos:R:3 pbc="T T T"
Cd 0.000 0.000 0.000
Fe 1.977 1.977 2.559
P 0.000 0.000 2.559
O 0.000 1.977 0.000
O 1.977 0.000 0.000
```

Properties
crystal system = tetragonal

=====

x.
DFT (meta-GGA SCAN) results for a PBEsol-optimized structure of CdFePO2.

The structure in extended XYZ format:
```
5
Lattice="3.649 0.000 0.000 0.000 3.649 0.000 0.000 0.000 4.829" Properties=species:S:1:pos:R:3 pbc="T T T"
Cd 0.000 0.000 0.000
Fe 1.824 1.824 2.415
P 1.824 1.824 0.000
O 0.000 1.824 2.415
O 1.824 0.000 2.415
```

Properties
crystal system = tetragonal

=====

Which structure above is the least stable one? w is the least stable one.